Record 1
## LaCd2Cu (GGA-PBE)

Data for a relaxed structure of LaCd2Cu.

Summary:
ΔH_f (0 K)	81	meV per atom
V	24.91	Å³ per atom
crystal system	monoclinic
DOS(E_F)	2.8	states/eV/f.u.
mass density	7.1	g cm⁻³

Cell: 6.6143 6.6143 3.4360 Å, 103.86 103.86 127.80°
Atoms (fractional coordinates):
La 0.0000 0.0000 0.0000
Cd 0.0000 0.5000 0.5000
Cd 0.5000 0.0000 0.5000
Cu 0.5000 0.5000 0.0000



Record 2
## LaCd2Cu2 (GGA-PBE)

Data for a relaxed structure of LaCd2Cu2.

Summary:
ΔH_f (0 K)	-195	meV per atom
V	21.44	Å³ per atom
offset from the most stable computed form	0.0231	eV/atom
crystal system	tetragonal
DOS(E_F)	3.5	states/eV/f.u.
mass density	7.6	g cm⁻³

Cell: 6.7286 6.7286 6.7286 Å, 143.49 143.49 52.59°
Atoms (fractional coordinates):
La 0.0000 0.0000 0.0000
Cd 0.2500 0.7500 0.5000
Cd 0.7500 0.2500 0.5000
Cu 0.3998 0.3998 0.0000
Cu 0.6002 0.6002 0.0000



Record 3
## La4CdCu3 (GGA-PBE)

Data for a relaxed structure of La4CdCu3.

Summary:
ΔH_f (0 K)	-165	meV per atom
V	26.63	Å³ per atom
crystal system	orthorhombic
DOS(E_F)	7.7	states/eV/f.u.
mass density	6.7	g cm⁻³

Cell: 3.9879 4.6816 11.4092 Å, 90.00 90.00 90.00°
Atoms (fractional coordinates):
La 0.0000 0.0000 0.0000
La 0.0000 0.5000 0.2687
La 0.5000 0.0000 0.4687
La 0.5000 0.5000 0.7855
Cd 0.0000 0.0000 0.6963
Cu 0.0000 0.5000 0.5519
Cu 0.5000 0.0000 0.1946
Cu 0.5000 0.5000 0.0704



Record 4
## La2Cd3Cu (GGA-PBE)

Data for a relaxed structure of La2Cd3Cu.

Summary:
ΔH_f (0 K)	-293	meV per atom
V	25.58	Å³ per atom
crystal system	orthorhombic
DOS(E_F)	4.6	states/eV/f.u.
mass density	7.3	g cm⁻³

Cell: 3.5564 4.9929 8.6432 Å, 90.00 90.00 90.00°
Atoms (fractional coordinates):
La 0.0000 0.0000 0.0000
La 0.0000 0.5000 0.4699
Cd 0.5000 0.0000 0.6407
Cd 0.5000 0.5000 0.1546
Cd 0.5000 0.5000 0.8143
Cu 0.5000 0.0000 0.3152



Record 5
## La8Cd2Cu (GGA-PBE)

Data for a relaxed structure of La8Cd2Cu.

Summary:
ΔH_f (0 K)	-121	meV per atom
V	31.95	Å³ per atom
crystal system	monoclinic
DOS(E_F)	12.7	states/eV/f.u.
mass density	6.6	g cm⁻³

Cell: 9.8961 9.8961 7.0683 Å, 105.95 105.95 32.00°
Atoms (fractional coordinates):
La 0.0127 0.0127 0.2802
La 0.2047 0.2047 0.7813
La 0.3439 0.3439 0.5330
La 0.4108 0.4108 0.0569
La 0.5892 0.5892 0.9431
La 0.6561 0.6561 0.4670
La 0.7953 0.7953 0.2187
La 0.9873 0.9873 0.7198
Cd 0.1778 0.1778 0.2153
Cd 0.8222 0.8222 0.7847
Cu 0.5000 0.5000 0.5000



Record 6
## LaCd2Cu2 (GGA-PBE)

Data for a relaxed structure of LaCd2Cu2.

Summary:
ΔH_f (0 K)	-103	meV per atom
V	22.13	Å³ per atom
offset from the most stable computed form	0.1145	eV/atom
crystal system	tetragonal
DOS(E_F)	4.1	states/eV/f.u.
mass density	7.4	g cm⁻³

Cell: 5.8703 5.8703 5.8703 Å, 131.65 131.65 70.78°
Atoms (fractional coordinates):
La 0.0000 0.0000 0.0000
Cd 0.3574 0.3574 0.0000
Cd 0.6426 0.6426 0.0000
Cu 0.2500 0.7500 0.5000
Cu 0.7500 0.2500 0.5000



Record 7
## LaCdCu5 (GGA-PBE)

Data for a relaxed structure of LaCdCu5.

Summary:
ΔH_f (0 K)	-184	meV per atom
V	16.52	Å³ per atom
crystal system	orthorhombic
DOS(E_F)	3.1	states/eV/f.u.
mass density	8.2	g cm⁻³

Cell: 8.4565 5.1540 10.6124 Å, 90.00 90.00 90.00°
Atoms (fractional coordinates):
La 0.2443 0.2500 0.0629
La 0.2557 0.7500 0.5629
La 0.7443 0.2500 0.4371
La 0.7557 0.7500 0.9371
Cd 0.1384 0.7500 0.8642
Cd 0.3616 0.2500 0.3642
Cd 0.6384 0.7500 0.6358
Cd 0.8616 0.2500 0.1358
Cu 0.0537 0.7500 0.1119
Cu 0.0679 0.9998 0.3137
Cu 0.0679 0.5002 0.3137
Cu 0.0820 0.2500 0.5154
Cu 0.1834 0.2500 0.7429
Cu 0.3166 0.7500 0.2429
Cu 0.4180 0.7500 0.0154
Cu 0.4321 0.0002 0.8137
Cu 0.4321 0.4998 0.8137
Cu 0.4463 0.2500 0.6119
Cu 0.5537 0.7500 0.3881
Cu 0.5679 0.9998 0.1863
Cu 0.5679 0.5002 0.1863
Cu 0.5820 0.2500 0.9846
Cu 0.6834 0.2500 0.7571
Cu 0.8166 0.7500 0.2571
Cu 0.9180 0.7500 0.4846
Cu 0.9321 0.0002 0.6863
Cu 0.9321 0.4998 0.6863
Cu 0.9463 0.2500 0.8881



Record 8
## La2CdCu (GGA-PBE)

Data for a relaxed structure of La2CdCu.

Summary:
ΔH_f (0 K)	-60	meV per atom
V	27.34	Å³ per atom
crystal system	tetragonal
DOS(E_F)	3.9	states/eV/f.u.
mass density	6.9	g cm⁻³

Cell: 3.6976 3.6976 7.9979 Å, 90.00 90.00 90.00°
Atoms (fractional coordinates):
La 0.0000 0.0000 0.0000
La 0.5000 0.5000 0.3400
Cd 0.0000 0.0000 0.6018
Cu 0.5000 0.5000 0.7759